Mg2AlAs: relaxed, PBE.

The value obtained for the relative energy among the computed polymorphs is 10.7 meV/atom. For the calculated formation energy, the calculation gives -0.110 eV/atom.

It has space group P4/mmm (No. 123), with a = 3.082 Å, b = 3.082 Å, c = 8.226 Å, α = 90.00°, β = 90.00° and γ = 90.00°. Symmetry generates all atoms from Mg at (0.000, 0.000, 0.247), Al at (0.500, 0.500, 0.500) and As at (0.500, 0.500, 0.000).

***

SrAlSe2: relaxed, PBE.

For the formation energy from raw total energies, the calculation gives -1.0412 eV per atom.

It has space group R-3m (No. 166, hexagonal axes), with a = 4.1387 Å, b = 4.1387 Å, c = 21.0174 Å, α = 90.00°, β = 90.00° and γ = 120.00°. Symmetry generates all atoms from Sr at (0.0000, 0.0000, 0.0000), Al at (0.0000, 0.0000, 0.5000) and Se at (0.0000, 0.0000, 0.2380).

***

LaBeGe3: relaxed, PBE.

The value obtained for the relative energy among the computed polymorphs is 8.9 meV/atom. For the calculated formation energy, the calculation gives -0.315 eV/atom.

It has space group P1 (No. 1), with a = 4.103 Å, b = 6.152 Å, c = 8.613 Å, α = 93.92°, β = 90.02° and γ = 109.41°. Symmetry generates all atoms from La at (0.000, 0.000, 0.000), La at (0.312, 0.624, 0.339), Be at (0.128, 0.261, 0.653), Be at (0.711, 0.421, 0.046), Ge at (0.033, 0.065, 0.405), Ge at (0.290, 0.579, 0.991), Ge at (0.375, 0.749, 0.724), Ge at (0.600, 0.198, 0.256), Ge at (0.600, 0.205, 0.784) and Ge at (0.767, 0.533, 0.594).

***

Er2TmAl6: relaxed, PBE.

For the calculated formation energy, the calculation gives -0.485 eV/atom.

It has space group P6/mmm (No. 191), with a = 7.8862 Å, b = 7.8862 Å, c = 3.4083 Å, α = 90.00°, β = 90.00° and γ = 120.00°. Symmetry generates all atoms from Er at (0.3333, 0.6667, 0.0000), Tm at (0.0000, 0.0000, 0.0000) and Al at (0.0000, 0.3331, 0.5000).

***

Ca5ErPd6: relaxed, PBE.

For the calculated formation energy, the calculation gives -0.730 eV/atom.

It has space group Cmmm (No. 65), with a = 4.959 Å, b = 14.911 Å, c = 7.107 Å, α = 90.00°, β = 90.00° and γ = 90.00°. Symmetry generates all atoms from Ca at (0.000, 0.000, 0.000), Ca at (0.000, 0.330, 0.500), Ca at (0.000, 0.334, 0.000), Er at (0.000, 0.000, 0.500), Pd at (0.000, 0.159, 0.256) and Pd at (0.000, 0.500, 0.270).

***

Dy2Y2Cd: relaxed, PBE.

The value obtained for the relative energy among the computed polymorphs is 0.0 meV/atom. For the calculated formation energy, the calculation gives -0.119 eV/atom.

It has space group I4/mmm (No. 139), with a = 3.573 Å, b = 3.573 Å, c = 23.272 Å, α = 90.00°, β = 90.00° and γ = 90.00°. Symmetry generates all atoms from Dy at (0.000, 0.000, 0.197), Y at (0.000, 0.000, 0.411) and Cd at (0.000, 0.000, 0.000).

***

Pu2GaPd6: relaxed, PBE.

The value obtained for the relative energy among the computed polymorphs is 0.0 meV/atom. For the calculated formation energy, the calculation gives -0.559 eV/atom.

It has space group P-3m1 (No. 164), with a = 5.7303 Å, b = 5.7303 Å, c = 5.8440 Å, α = 90.00°, β = 90.00° and γ = 120.00°. Symmetry generates all atoms from Pu at (0.3333, 0.6667, 0.1743), Ga at (0.0000, 0.0000, 0.0000) and Pd at (0.1732, 0.3464, 0.6887).

***

CdCo2Ag: relaxed, PBE.

For the calculated formation energy, the calculation gives 0.454 eV/atom.

It has space group R-3m (No. 166, hexagonal axes), with a = 2.7652 Å, b = 2.7652 Å, c = 27.3989 Å, α = 90.00°, β = 90.00° and γ = 120.00°. Symmetry generates all atoms from Cd at (0.0000, 0.0000, 0.0000), Co at (0.0000, 0.0000, 0.2490) and Ag at (0.0000, 0.0000, 0.5000).

***

LaCuCl2: relaxed, PBE.

For the formation energy from raw total energies, the calculation gives -1.0846 eV per atom. The value obtained for the relative energy among the computed polymorphs is 83.5 meV/atom.

It has space group I-4m2 (No. 119), with a = 4.421 Å, b = 4.421 Å, c = 8.887 Å, α = 90.00°, β = 90.00° and γ = 90.00°. Symmetry generates all atoms from La at (0.000, 0.000, 0.000), Cu at (0.000, 0.500, 0.250), Cl at (0.000, 0.000, 0.500) and Cl at (0.000, 0.500, 0.750).

***

ScTi2GaO: relaxed, PBE.

For the formation energy from raw total energies, the calculation gives -1.2988 eV per atom.

It has space group P4/mmm (No. 123), with a = 4.101 Å, b = 4.101 Å, c = 4.408 Å, α = 90.00°, β = 90.00° and γ = 90.00°. Symmetry generates all atoms from Sc at (0.000, 0.000, 0.000), Ti at (0.000, 0.500, 0.500), Ga at (0.500, 0.500, 0.000) and O at (0.000, 0.000, 0.500).

***

Rb2LiCaZn: relaxed, PBE.

For the calculated formation energy, the calculation gives 0.358 eV/atom.

It has space group P4/mmm (No. 123), with a = 7.100 Å, b = 7.100 Å, c = 5.067 Å, α = 90.00°, β = 90.00° and γ = 90.00°. Symmetry generates all atoms from Rb at (0.000, 0.500, 0.000), Li at (0.000, 0.000, 0.000), Ca at (0.500, 0.500, 0.500) and Zn at (0.000, 0.000, 0.500).

***

Li2AgHg2: relaxed, PBE.

The value obtained for the relative energy among the computed polymorphs is 148.1 meV/atom. For the calculated formation energy, the calculation gives -0.103 eV/atom.

It has space group I4/mmm (No. 139), with a = 3.831 Å, b = 3.831 Å, c = 13.560 Å, α = 90.00°, β = 90.00° and γ = 90.00°. Symmetry generates all atoms from Li at (0.000, 0.500, 0.250), Ag at (0.000, 0.000, 0.000) and Hg at (0.000, 0.000, 0.391).

***

Dy3SbS2: relaxed, PBE.

For the formation energy from raw total energies, the calculation gives -1.3887 eV per atom. The value obtained for the relative energy among the computed polymorphs is 0.0 meV/atom.

It has space group Cmcm (No. 63), with a = 10.867 Å, b = 8.170 Å, c = 6.692 Å, α = 90.00°, β = 90.00° and γ = 90.00°. Symmetry generates all atoms from Dy at (0.000, 0.078, 0.250), Dy at (0.176, 0.281, 0.750), Sb at (0.000, 0.421, 0.250) and S at (0.189, 0.000, 0.000).

***

CsK2Mn: relaxed, PBE.

For the calculated formation energy, the calculation gives 0.666 eV/atom.

It has space group Fm-3m (No. 225), with a = 9.586 Å, b = 9.586 Å, c = 9.586 Å, α = 90.00°, β = 90.00° and γ = 90.00°. Symmetry generates all atoms from Cs at (0.000, 0.000, 0.000), K at (0.250, 0.250, 0.250) and Mn at (0.000, 0.000, 0.500).

***

Rb2RhSe2O6: relaxed, PBE.

For the formation energy from raw total energies, the calculation gives -1.0211 eV per atom.

It has space group C2/m (No. 12), with a = 13.299 Å, b = 5.388 Å, c = 7.723 Å, α = 90.00°, β = 120.53° and γ = 90.00°. Symmetry generates all atoms from Rb at (0.214, 0.000, 0.258), Rh at (0.000, 0.000, 0.500), Se at (0.028, 0.500, 0.801), O at (0.082, 0.248, 0.725) and O at (0.119, 0.500, 0.334).

***

NbNiMo: relaxed, PBE.

The value obtained for the relative energy among the computed polymorphs is 165.5 meV/atom. For the calculated formation energy, the calculation gives 0.084 eV/atom.

It has space group P-1 (No. 2), with a = 4.721 Å, b = 4.765 Å, c = 5.115 Å, α = 109.85°, β = 98.16° and γ = 116.12°. Symmetry generates all atoms from Nb at (0.075, 0.437, 0.242), Ni at (0.420, 0.125, 0.219) and Mo at (0.268, 0.201, 0.723).

***

SrPuPbAu: relaxed, PBE.

For the calculated formation energy, the calculation gives -0.362 eV/atom.

It has space group F-43m (No. 216), with a = 7.741 Å, b = 7.741 Å, c = 7.741 Å, α = 90.00°, β = 90.00° and γ = 90.00°. Symmetry generates all atoms from Sr at (0.000, 0.000, 0.000), Pu at (0.000, 0.000, 0.500), Pb at (0.250, 0.250, 0.250) and Au at (0.250, 0.250, 0.750).

***

Pr3Nd12Al: relaxed, PBE.

For the calculated formation energy, the calculation gives -0.014 eV/atom.

It has space group P4/mmm (No. 123), with a = 5.108 Å, b = 5.108 Å, c = 20.832 Å, α = 90.00°, β = 90.00° and γ = 90.00°. Symmetry generates all atoms from Pr at (0.000, 0.000, 0.000), Pr at (0.000, 0.000, 0.255), Nd at (0.000, 0.500, 0.128), Nd at (0.000, 0.500, 0.385), Nd at (0.500, 0.500, 0.000), Nd at (0.500, 0.500, 0.258), Nd at (0.500, 0.500, 0.500) and Al at (0.000, 0.000, 0.500).

***

Li7Mg2Sn: relaxed, PBE.

The value obtained for the relative energy among the computed polymorphs is 28.9 meV/atom. For the calculated formation energy, the calculation gives -0.070 eV/atom.

It has space group Cmmm (No. 65), with a = 5.430 Å, b = 24.846 Å, c = 2.954 Å, α = 90.00°, β = 90.00° and γ = 90.00°. Symmetry generates all atoms from Li at (0.000, 0.000, 0.000), Li at (0.000, 0.306, 0.500), Li at (0.238, 0.405, 0.000), Mg at (0.000, 0.201, 0.000) and Sn at (0.000, 0.500, 0.500).

***

Zr4Cd3Hg4: relaxed, PBE.

For the calculated formation energy, the calculation gives 0.107 eV/atom.

It has space group C2/m (No. 12), with a = 21.611 Å, b = 3.138 Å, c = 8.231 Å, α = 90.00°, β = 112.35° and γ = 90.00°. Symmetry generates all atoms from Zr at (0.000, 0.000, 0.182), Zr at (0.244, 0.000, 0.244), Cd at (0.000, 0.500, 0.500), Cd at (0.109, 0.500, 0.109), Hg at (0.154, 0.000, 0.458) and Hg at (0.154, 0.000, 0.850).

***

Number 1: final energy -12.02 eV for the cell shown. Number 2: final energy -49.68 eV for the cell shown. Number 3: final energy -48.16 eV for the cell shown. Number 4: final energy -40.42 eV for the cell shown. Number 5: final energy -108.97 eV for the cell shown. Number 6: final energy -47.29 eV for the cell shown. Number 7: final energy -67.87 eV for the cell shown. Number 8: final energy -48.48 eV for the cell shown. Number 9: final energy -34.11 eV for the cell shown. Number 10: final energy -36.60 eV for the cell shown. Number 11: final energy -5.33 eV for the cell shown. Number 12: final energy -15.59 eV for the cell shown. Number 13: final energy -138.06 eV for the cell shown. Number 14: final energy -38.22 eV for the cell shown. Number 15: final energy -114.47 eV for the cell shown. Number 16: final energy -52.86 eV for the cell shown. Number 17: final energy -97.78 eV for the cell shown. Number 18: final energy -75.53 eV for the cell shown. Number 19: final energy -42.58 eV for the cell shown. Number 20: final energy -73.94 eV for the cell shown.